The following is a PBE calculation of a geometry-optimized Ba2LiAl3In4 structure, from the Alexandria database.

Unit cell a=4.7956 b=4.7956 c=11.7999 alpha=90.00 beta=90.00 gamma=90.00
Last column: nearest neighbours and their distance in Å.
Space group P-4m2 (No. 115)
Unique sites:
Ba (0.0000, 0.5000, 0.2484) [2 per cell]  6 Al 3.64-3.82, 8 In 3.69-3.79, 2 Li 3.82
Li (0.0000, 0.0000, 0.5000) [1 per cell]  4 In 2.83
Al (0.0000, 0.5000, 0.8631) [2 per cell]  5 In 2.77-2.89
Al (0.5000, 0.5000, 0.5000) [1 per cell]  4 In 2.83
In (0.0000, 0.0000, 0.0000) [1 per cell]  4 Al 2.89
In (0.0000, 0.5000, 0.6282) [2 per cell]  3 Al 2.77-2.83, 2 Li 2.83
In (0.5000, 0.5000, 0.0000) [1 per cell]  4 Al 2.89

Values from the calculation:
Calculated formation energy, eV/atom: -0.299
Final energy, eV/atom: -3.093